(1)
Entry from the Alexandria database: crystalline ZrGeN at its relaxed geometry (PBE-GGA).

```
ZrGeN
1.0
3.8486 0.0000 0.0000
0.0000 3.8492 0.0000
0.0000 0.0000 13.8257
Zr N Ge
4 4 4
direct
0.2482 0.2500 0.1812 Zr
0.2518 0.2500 0.6812 Zr
0.7518 0.7500 0.8188 Zr
0.7482 0.7500 0.3188 Zr
0.7482 0.2500 0.2500 N
0.7518 0.2500 0.7500 N
0.2518 0.7500 0.7500 N
0.2482 0.7500 0.2500 N
0.7499 0.2500 0.0000 Ge
0.7501 0.2500 0.5000 Ge
0.2501 0.7500 0.0000 Ge
0.2499 0.7500 0.5000 Ge
```

(2)
Entry from the Alexandria database: crystalline ZrGeN2 at its relaxed geometry (PBE-GGA).

```
ZrGeN2
1.0
1.7991 0.0000 6.2976
-0.8996 1.5581 6.2976
-0.8996 -1.5581 6.2976
Ge Zr N
1 1 2
direct
0.5000 0.5000 0.5000 Ge
0.0000 0.0000 0.0000 Zr
0.8880 0.8880 0.8880 N
0.1120 0.1120 0.1120 N
```

(3)
Entry from the Alexandria database: crystalline ZrGeN2 at its relaxed geometry (PBE-GGA).

```
ZrGeN2
1.0
-0.2841 1.9165 3.4443
-3.9360 0.0455 -0.3500
-0.4164 -6.8717 3.7893
Zr Ge N
2 2 4
direct
0.0000 0.5000 0.6111 Zr
0.5000 0.0000 0.3889 Zr
0.0000 0.5000 0.1118 Ge
0.5000 0.0000 0.8882 Ge
0.0000 0.0000 0.5000 N
0.5000 0.5000 0.5000 N
0.0000 0.5000 0.8789 N
0.5000 0.0000 0.1211 N
```

(4)
Entry from the Alexandria database: crystalline ZrGeN at its relaxed geometry (PBE-GGA).

```
ZrGeN
1.0
-4.6625 0.8656 -2.2544
-1.3455 -2.5793 1.7922
-4.9998 1.1336 1.1348
Ge Zr N
1 1 1
direct
0.7194 0.4414 0.1008 Ge
0.2485 0.9119 0.1597 Zr
0.8487 0.3118 0.3599 N
```

The records above yield calculated total energy values of -8.097, -7.294, -8.062, -7.831 eV per atom, respectively.